Entry 1:
This record from Alexandria describes AlV2SnS after structural relaxation. The functional is PBE.

Output
uncorrected energy: -4.900 eV/atom
DOS at the Fermi energy: 5.13 states/eV per cell
raw formation energy: 1122 meV/atom
symmetry: P4/mmm

Cell lengths 4.8667, 4.9976, 4.8667 Å; angles 90.00, 90.00, 90.00 degrees
Closest atoms and distances in Å follow each position.
Fractional coordinates of all 5 atoms:
V1 0.0000 0.0000 0.5000  2 Al 2.43
V2 0.5000 0.0000 0.0000  2 Al 2.43
S1 0.5000 0.5000 0.5000  4 Sn 3.44, 8 V 3.49
Sn1 0.0000 0.5000 0.0000  2 Al 2.50
Al1 0.0000 0.0000 0.0000  4 V 2.43, 2 Sn 2.50


Entry 2:
This record from Alexandria describes AlZnSnS4 after structural relaxation. The functional is PBE.

Output
uncorrected energy: -4.308 eV/atom
DOS at the Fermi energy: 3.26 states/eV per cell
raw formation energy: -661 meV/atom
symmetry: Imma

Cell lengths 7.4147, 7.4517, 7.4517 Å; angles 59.29, 60.16, 60.16 degrees
Closest atoms and distances in Å follow each position.
Fractional coordinates of all 14 atoms:
Zn1 0.3777 0.3723 0.8723  4 S 2.36-2.42
Zn2 0.6223 0.6277 0.1277  4 S 2.36-2.42
S1 0.2357 0.7721 0.2721  1 Zn 2.36, 1 Al 2.42
S2 0.2529 0.7719 0.7223  1 Zn 2.42, 2 Al 2.49, 1 Sn 2.69
S3 0.2529 0.2223 0.2719  1 Zn 2.42, 2 Al 2.49, 1 Sn 2.69
S4 0.7201 0.7721 0.2721  1 Zn 2.36, 1 Al 2.42
S5 0.7643 0.2279 0.7279  1 Zn 2.36, 1 Al 2.42
S6 0.7471 0.7777 0.7281  1 Zn 2.42, 2 Al 2.49, 1 Sn 2.69
S7 0.2799 0.2279 0.7279  1 Zn 2.36, 1 Al 2.42
S8 0.7471 0.2281 0.2777  1 Zn 2.42, 2 Al 2.49, 1 Sn 2.69
Sn1 0.0000 0.0000 0.0000  6 S 2.67-2.69
Sn2 0.0000 0.5000 0.5000  6 S 2.67-2.69
Al1 0.5000 0.0000 0.5000  6 S 2.42-2.49
Al2 0.0000 0.0000 0.5000  6 S 2.42-2.49


Entry 3:
This record from Alexandria describes SrAl3S after structural relaxation. The functional is PBE.

Output
uncorrected energy: -3.260 eV/atom
DOS at the Fermi energy: 4.23 states/eV per cell
energy above the lowest structure with this stoichiometry: 0.0 meV per atom
raw formation energy: 147 meV/atom
symmetry: Pm-3m

Cell lengths 5.0235, 5.0235, 5.0235 Å; angles 90.00, 90.00, 90.00 degrees
Closest atoms and distances in Å follow each position.
Fractional coordinates of all 5 atoms:
Al1 0.0000 0.0000 0.5000  2 S 2.51
Al2 0.5000 0.0000 0.0000  2 S 2.51
Al3 0.0000 0.5000 0.0000  2 S 2.51
Sr1 0.5000 0.5000 0.5000  12 Al 3.55
S1 0.0000 0.0000 0.0000  6 Al 2.51


Entry 4:
This record from Alexandria describes SrAl4S7 after structural relaxation. The functional is PBE.

Output
uncorrected energy: -5.055 eV/atom
DOS at the Fermi energy: 0.00 states/eV per cell
raw formation energy: -1260 meV/atom
symmetry: Pmn2_1

Cell lengths 6.0229, 6.3110, 15.1361 Å; angles 90.00, 90.00, 90.00 degrees
Closest atoms and distances in Å follow each position.
Fractional coordinates of all 24 atoms:
Al1 0.6020 0.6595 0.1202  4 S 2.25-2.31
Al2 0.6020 0.6595 0.8798  4 S 2.25-2.31
Al3 0.5878 0.1736 0.2488  4 S 2.23-2.32
Al4 0.1020 0.3405 0.6202  4 S 2.25-2.31
Al5 0.0878 0.8264 0.2512  4 S 2.23-2.32
Al6 0.1020 0.3405 0.3798  4 S 2.25-2.31
Al7 0.5878 0.1736 0.7512  4 S 2.23-2.32
Al8 0.0878 0.8264 0.7488  4 S 2.23-2.32
S1 0.0071 0.6845 0.6175  2 Al 2.23-2.25
S2 0.4756 0.8322 0.0000  2 Al 2.25
S3 0.9736 0.1757 0.7468  3 Al 2.31-2.32
S4 0.9730 0.7131 0.8808  2 Al 2.23-2.26
S5 0.9736 0.1757 0.2532  3 Al 2.31-2.32
S6 0.0071 0.6845 0.3826  2 Al 2.23-2.25
S7 0.4730 0.2869 0.3808  2 Al 2.23-2.26
S8 0.5071 0.3155 0.8826  2 Al 2.23-2.25
S9 0.9756 0.1678 0.5000  2 Al 2.25
S10 0.4730 0.2869 0.6192  2 Al 2.23-2.26
S11 0.4736 0.8243 0.7532  3 Al 2.31-2.32
S12 0.5071 0.3155 0.1174  2 Al 2.23-2.25
S13 0.4736 0.8243 0.2468  3 Al 2.31-2.32
S14 0.9730 0.7131 0.1192  2 Al 2.23-2.26
Sr1 0.8920 0.1055 0.0000  5 S 3.04-3.21
Sr2 0.3920 0.8945 0.5000  5 S 3.04-3.21


Entry 5:
This record from Alexandria describes Sr2AlS after structural relaxation. The functional is PBE.

Output
uncorrected energy: -3.482 eV/atom
DOS at the Fermi energy: 4.13 states/eV per cell
energy above the lowest structure with this stoichiometry: 0.0 meV per atom
raw formation energy: -673 meV/atom
symmetry: I-42d

Cell lengths 8.1935, 8.1935, 7.1733 Å; angles 55.17, 55.17, 90.00 degrees
Closest atoms and distances in Å follow each position.
Fractional coordinates of all 8 atoms:
S1 0.0000 0.0000 0.0000  4 Sr 2.85
S2 0.7500 0.2500 0.5000  4 Sr 2.85
Sr1 0.8750 0.9201 0.7500  2 S 2.85
Sr2 0.3750 0.3299 0.7500  2 S 2.85
Sr3 0.0799 0.6250 0.2500  2 S 2.85
Sr4 0.6701 0.1250 0.2500  2 S 2.85
Al1 0.5000 0.5000 0.0000  4 Sr 3.34
Al2 0.2500 0.7500 0.5000  4 Sr 3.34


Entry 6:
This record from Alexandria describes SrAlS after structural relaxation. The functional is PBE.

Output
uncorrected energy: -4.178 eV/atom
DOS at the Fermi energy: 1.72 states/eV per cell
raw formation energy: -995 meV/atom
symmetry: P4/nmm

Cell lengths 4.1508, 4.1508, 8.9707 Å; angles 90.00, 90.00, 90.00 degrees
Closest atoms and distances in Å follow each position.
Fractional coordinates of all 6 atoms:
S1 0.5000 0.0000 0.3253  5 Sr 2.94-3.07
S2 0.0000 0.5000 0.6747  5 Sr 2.94-3.07
Sr1 0.5000 0.0000 0.6675  5 S 2.94-3.07
Sr2 0.0000 0.5000 0.3325  5 S 2.94-3.07
Al1 0.0000 0.0000 0.0000  4 Al 2.94
Al2 0.5000 0.5000 0.0000  4 Al 2.94


Entry 7:
This record from Alexandria describes Sr3AlS after structural relaxation. The functional is PBE.

Output
uncorrected energy: -3.302 eV/atom
DOS at the Fermi energy: 7.65 states/eV per cell
energy above the lowest structure with this stoichiometry: 0.0 meV per atom
raw formation energy: -719 meV/atom
symmetry: Pm-3m

Cell lengths 5.7121, 5.7121, 5.7121 Å; angles 90.00, 90.00, 90.00 degrees
Closest atoms and distances in Å follow each position.
Fractional coordinates of all 5 atoms:
Al1 0.5000 0.5000 0.5000  12 Sr 4.04
Sr1 0.5000 0.0000 0.0000  2 S 2.86
Sr2 0.0000 0.5000 0.0000  2 S 2.86
Sr3 0.0000 0.0000 0.5000  2 S 2.86
S1 0.0000 0.0000 0.0000  6 Sr 2.86


Entry 8:
This record from Alexandria describes Sr3Al5S12 after structural relaxation. The functional is PBE.

Output
uncorrected energy: -4.829 eV/atom
DOS at the Fermi energy: 78.34 states/eV per cell
raw formation energy: -1164 meV/atom
symmetry: Ia-3d

Cell lengths 13.2748, 13.2748, 13.2748 Å; angles 109.47, 109.47, 109.47 degrees
Closest atoms and distances in Å follow each position.
Fractional coordinates of all 80 atoms:
S1 0.0911 0.1802 0.4806  2 Al 2.27-2.44
S2 0.6105 0.0194 0.1997  2 Al 2.27-2.44
S3 0.0911 0.9109 0.1105  2 Al 2.27-2.44
S4 0.8198 0.9089 0.0194  2 Al 2.27-2.44
S5 0.9806 0.3895 0.3003  2 Al 2.27-2.44
S6 0.6997 0.1105 0.0194  2 Al 2.27-2.44
S7 0.4806 0.8003 0.8895  2 Al 2.27-2.44
S8 0.1802 0.0891 0.6997  2 Al 2.27-2.44
S9 0.4109 0.3003 0.3198  2 Al 2.27-2.44
S10 0.0194 0.4089 0.8198  2 Al 2.27-2.44
S11 0.3198 0.8003 0.4109  2 Al 2.27-2.44
S12 0.5891 0.8895 0.4089  2 Al 2.27-2.44
S13 0.0194 0.6105 0.6997  2 Al 2.27-2.44
S14 0.1105 0.4109 0.0911  2 Al 2.27-2.44
S15 0.9089 0.0891 0.8895  2 Al 2.27-2.44
S16 0.4089 0.0194 0.3198  2 Al 2.27-2.44
S17 0.8003 0.4806 0.3895  2 Al 2.27-2.44
S18 0.4109 0.1105 0.5911  2 Al 2.27-2.44
S19 0.6997 0.5891 0.1802  2 Al 2.27-2.44
S20 0.4806 0.6802 0.0911  2 Al 2.27-2.44
S21 0.1802 0.0911 0.9806  2 Al 2.27-2.44
S22 0.5194 0.1997 0.1105  2 Al 2.27-2.44
S23 0.5891 0.6997 0.6802  2 Al 2.27-2.44
S24 0.9806 0.5911 0.1802  2 Al 2.27-2.44
S25 0.4089 0.3895 0.5891  2 Al 2.27-2.44
S26 0.8003 0.3198 0.9109  2 Al 2.27-2.44
S27 0.5911 0.6105 0.4109  2 Al 2.27-2.44
S28 0.9109 0.0911 0.6105  2 Al 2.27-2.44
S29 0.1105 0.6997 0.5194  2 Al 2.27-2.44
S30 0.1997 0.5194 0.6105  2 Al 2.27-2.44
S31 0.8198 0.9109 0.3003  2 Al 2.27-2.44
S32 0.5911 0.9806 0.6802  2 Al 2.27-2.44
S33 0.3895 0.9806 0.8003  2 Al 2.27-2.44
S34 0.3895 0.4089 0.0891  2 Al 2.27-2.44
S35 0.3003 0.8895 0.9806  2 Al 2.27-2.44
S36 0.6802 0.1997 0.5891  2 Al 2.27-2.44
S37 0.6105 0.5911 0.9109  2 Al 2.27-2.44
S38 0.8895 0.3003 0.4806  2 Al 2.27-2.44
S39 0.8895 0.5891 0.9089  2 Al 2.27-2.44
S40 0.0891 0.9089 0.3895  2 Al 2.27-2.44
S41 0.9089 0.8198 0.5194  2 Al 2.27-2.44
S42 0.3198 0.5194 0.4089  2 Al 2.27-2.44
S43 0.3003 0.4109 0.8198  2 Al 2.27-2.44
S44 0.0891 0.1802 0.1997  2 Al 2.27-2.44
S45 0.6802 0.4806 0.5911  2 Al 2.27-2.44
S46 0.1997 0.6802 0.0891  2 Al 2.27-2.44
S47 0.9109 0.8198 0.8003  2 Al 2.27-2.44
S48 0.5194 0.3198 0.9089  2 Al 2.27-2.44
Al1 0.3750 0.2500 0.1250  4 S 2.27
Al2 0.0000 0.0000 0.0000  6 S 2.44
Al3 0.2500 0.3750 0.6250  4 S 2.27
Al4 0.1250 0.3750 0.2500  4 S 2.27
Al5 0.5000 0.5000 0.5000  6 S 2.44
Al6 0.8750 0.2500 0.6250  4 S 2.27
Al7 0.3750 0.1250 0.7500  4 S 2.27
Al8 0.2500 0.8750 0.1250  4 S 2.27
Al9 0.8750 0.6250 0.7500  4 S 2.27
Al10 0.5000 0.0000 0.0000  6 S 2.44
Al11 0.0000 0.5000 0.5000  6 S 2.44
Al12 0.5000 0.0000 0.5000  6 S 2.44
Al13 0.1250 0.7500 0.3750  4 S 2.27
Al14 0.5000 0.5000 0.0000  6 S 2.44
Al15 0.6250 0.8750 0.2500  4 S 2.27
Al16 0.6250 0.7500 0.8750  4 S 2.27
Al17 0.0000 0.0000 0.5000  6 S 2.44
Al18 0.0000 0.5000 0.0000  6 S 2.44
Al19 0.7500 0.1250 0.8750  4 S 2.27
Al20 0.7500 0.6250 0.3750  4 S 2.27
Sr1 0.8750 0.7500 0.1250  8 S 3.04-3.06
Sr2 0.2500 0.6250 0.8750  8 S 3.04-3.06
Sr3 0.8750 0.1250 0.2500  8 S 3.04-3.06
Sr4 0.3750 0.7500 0.6250  8 S 3.04-3.06
Sr5 0.7500 0.3750 0.1250  8 S 3.04-3.06
Sr6 0.3750 0.6250 0.2500  8 S 3.04-3.06
Sr7 0.1250 0.8750 0.7500  8 S 3.04-3.06
Sr8 0.2500 0.1250 0.3750  8 S 3.04-3.06
Sr9 0.6250 0.2500 0.3750  8 S 3.04-3.06
Sr10 0.7500 0.8750 0.6250  8 S 3.04-3.06
Sr11 0.6250 0.3750 0.7500  8 S 3.04-3.06
Sr12 0.1250 0.2500 0.8750  8 S 3.04-3.06


Question: Look up the DOS at the Fermi energy of the third one.
Answer: 4.23 states/eV per cell


Question: The lowest raw formation energy belongs to which entry?
Answer: SrAl4S7